Entry 1:
This record from the Alexandria database describes LiDyGa4Au2 after structural relaxation. The functional is PBE-GGA.

Output
**Space group**: R-3m (166)
**Calculated volume**: 145 Å³/f.u.

a = 4.4240 Å, b = 4.4240 Å, c = 8.9254 Å
α = 75.65°, β = 75.65°, γ = 60.00°
Atoms (fractional coordinates):
Au: 0.2349 0.2349 0.2952
Ga: 0.1257 0.1257 0.6230
Ga: 0.6082 0.6082 0.1754
Li: 0.5000 0.5000 0.5000
Au: 0.7651 0.7651 0.7048
Ga: 0.3918 0.3918 0.8246
Ga: 0.8743 0.8743 0.3770
Dy: 0.0000 0.0000 0.0000

Entry 2:
This record from the Alexandria database describes DyMg2GaAu4 after structural relaxation. The functional is PBE-GGA.

Output
**Space group**: R-3m (166)
**Calculated volume**: 157 Å³/f.u.

a = 4.6230 Å, b = 4.6230 Å, c = 8.8843 Å
α = 74.92°, β = 74.92°, γ = 60.00°
Atoms (fractional coordinates):
Dy: 0.0000 0.0000 0.0000
Au: 0.6105 0.6105 0.1686
Au: 0.8751 0.8751 0.3746
Mg: 0.2431 0.2431 0.2708
Mg: 0.7569 0.7569 0.7292
Au: 0.3895 0.3895 0.8314
Au: 0.1249 0.1249 0.6254
Ga: 0.5000 0.5000 0.5000

Entry 3:
This record from the Alexandria database describes DyMgGa2Au5 after structural relaxation. The functional is PBE-GGA.

Output
**Space group**: P4/mmm (123)
**Calculated volume**: 183 Å³/f.u.

a = 4.7023 Å, b = 4.7023 Å, c = 8.2735 Å
α = 90.00°, β = 90.00°, γ = 90.00°
Atoms (fractional coordinates):
Au: 0.0000 0.5000 0.2698
Ga: 0.5000 0.5000 0.1462
Au: 0.5000 0.5000 0.5000
Ga: 0.5000 0.5000 0.8538
Dy: 0.0000 0.0000 0.5000
Au: 0.5000 0.0000 0.7302
Au: 0.5000 0.0000 0.2698
Au: 0.0000 0.5000 0.7302
Mg: 0.0000 0.0000 0.0000

Entry 4:
This record from the Alexandria database describes DyMgGa2Au4 after structural relaxation. The functional is PBE-GGA.

Output
**Space group**: R-3m (166)
**Calculated volume**: 153 Å³/f.u.

a = 4.5790 Å, b = 4.5790 Å, c = 8.8448 Å
α = 75.00°, β = 75.00°, γ = 60.00°
Atoms (fractional coordinates):
Ga: 0.7520 0.7520 0.7439
Mg: 0.5000 0.5000 0.5000
Ga: 0.2480 0.2480 0.2561
Au: 0.1311 0.1311 0.6067
Au: 0.6095 0.6095 0.1715
Au: 0.8689 0.8689 0.3933
Au: 0.3905 0.3905 0.8285
Dy: 0.0000 0.0000 0.0000

Entry 5:
This record from the Alexandria database describes NaDyGaAu after structural relaxation. The functional is PBE-GGA.

Output
**Space group**: F-43m (216)
**Calculated volume**: 87 Å³/f.u.

a = 4.9817 Å, b = 4.9817 Å, c = 4.9817 Å
α = 60.00°, β = 60.00°, γ = 60.00°
Atoms (fractional coordinates):
Au: 0.2500 0.2500 0.2500
Dy: 0.0000 0.0000 0.0000
Ga: 0.7500 0.7500 0.7500
Na: 0.5000 0.5000 0.5000

Entry 6:
This record from the Alexandria database describes DyGa3NiAu after structural relaxation. The functional is PBE-GGA.

Output
**Space group**: Cmcm (63)
**Calculated volume**: 109 Å³/f.u.

a = 6.0291 Å, b = 5.8676 Å, c = 6.8406 Å
α = 115.40°, β = 90.00°, γ = 90.00°
Atoms (fractional coordinates):
Ga: 0.0000 0.7161 0.0000
Ni: 0.2500 0.9286 0.8573
Dy: 0.7500 0.2832 0.5664
Ni: 0.7500 0.0714 0.1427
Dy: 0.2500 0.7168 0.4336
Ga: 0.5000 0.2839 0.0000
Ga: 0.7500 0.8679 0.7358
Ga: 0.2500 0.1321 0.2642
Ga: 0.5000 0.7161 0.0000
Ga: 0.0000 0.2839 0.0000
Au: 0.7500 0.6606 0.3211
Au: 0.2500 0.3394 0.6789

Entry 7:
This record from the Alexandria database describes DyGaNiAu after structural relaxation. The functional is PBE-GGA.

Output
**Space group**: F-43m (216)
**Calculated volume**: 72 Å³/f.u.

a = 4.6775 Å, b = 4.6775 Å, c = 4.6775 Å
α = 60.00°, β = 60.00°, γ = 60.00°
Atoms (fractional coordinates):
Ga: 0.5000 0.5000 0.5000
Au: 0.7500 0.7500 0.7500
Ni: 0.2500 0.2500 0.2500
Dy: 0.0000 0.0000 0.0000

Entry 8:
This record from the Alexandria database describes DyGaPbAu after structural relaxation. The functional is PBE-GGA.

Output
**Space group**: F-43m (216)
**Calculated volume**: 94 Å³/f.u.

a = 5.0987 Å, b = 5.0987 Å, c = 5.0987 Å
α = 60.00°, β = 60.00°, γ = 60.00°
Atoms (fractional coordinates):
Au: 0.5000 0.5000 0.5000
Pb: 0.7500 0.7500 0.7500
Dy: 0.2500 0.2500 0.2500
Ga: 0.0000 0.0000 0.0000

no.,formation energy from the elements (kJ/mol of atoms),DOS(E_F) (states/eV/cell),E (eV/atom)
1,-42.1,2.032,-3.583
2,-55.1,3.619,-3.562
3,-37.5,2.587,-3.570
4,-51.1,3.197,-3.700
5,-40.6,1.961,-3.477
6,-35.7,3.684,-4.161
7,-45.1,2.311,-4.640
8,-34.9,2.206,-4.015